An optimized crystal structure of RbAsI2Br, computed with PBE.

Lattice parameters (Å, degrees): 5.862 5.862 5.524 90.00 90.00 90.00
Element x y z (fractional)
I 0.000 0.500 0.000
I 0.500 0.000 0.000
As 0.000 0.000 0.000
Br 0.000 0.000 0.500
Rb 0.500 0.500 0.500

Summary:
Density of states at the Fermi level, states/eV per atom: 0.084
E_form (uncorrected), meV per atom: -694.8


An optimized crystal structure of InSbAs, computed with PBE.

Lattice parameters (Å, degrees): 3.123 3.123 8.128 89.94 89.94 89.53
Element x y z (fractional)
Sb 0.175 0.175 0.795
As 0.170 0.170 0.130
In 0.661 0.661 0.428

Summary:
Density of states at the Fermi level, states/eV per atom: 0.466
E_form (uncorrected), meV per atom: 144.0
Offset from the most stable computed form, meV/atom: 101


An optimized crystal structure of Sc5CuPt6, computed with PBE.

Lattice parameters (Å, degrees): 4.562 7.929 7.929 118.34 106.80 106.80
Element x y z (fractional)
Sc 0.500 0.153 0.847
Sc 0.000 0.329 0.671
Sc 0.500 0.500 0.500
Sc 0.000 0.671 0.329
Sc 0.500 0.847 0.153
Cu 0.000 0.000 0.000
Pt 0.255 0.086 0.423
Pt 0.745 0.577 0.914
Pt 0.766 0.268 0.268
Pt 0.234 0.732 0.732
Pt 0.255 0.423 0.086
Pt 0.745 0.914 0.577

Summary:
Density of states at the Fermi level, states/eV per atom: 0.547
E_tot, eV/cell: -85.06


An optimized crystal structure of La2GaSi4Rh3, computed with PBE.

Lattice parameters (Å, degrees): 4.243 4.243 10.058 90.00 90.00 90.00
Element x y z (fractional)
La 0.500 0.000 0.244
La 0.000 0.500 0.756
Ga 0.500 0.500 0.500
Si 0.500 0.500 0.000
Si 0.000 0.000 0.000
Si 0.500 0.000 0.641
Si 0.000 0.500 0.359
Rh 0.000 0.000 0.500
Rh 0.500 0.000 0.881
Rh 0.000 0.500 0.119

Summary:
Density of states at the Fermi level, states/eV per atom: 0.511
E_form (uncorrected), meV per atom: -902.2


An optimized crystal structure of Pm5HgBi2, computed with PBE.

Lattice parameters (Å, degrees): 7.236 7.236 6.854 121.87 121.87 89.99
Element x y z (fractional)
Pm 0.723 0.222 0.944
Pm 0.222 0.222 0.944
Pm 0.722 0.722 0.944
Pm 0.222 0.723 0.944
Pm 0.722 0.722 0.443
Hg 0.222 0.222 0.445
Bi 0.222 0.722 0.444
Bi 0.722 0.222 0.444

Summary:
Density of states at the Fermi level, states/eV per atom: 1.101
E_tot, eV/cell: -35.70


An optimized crystal structure of Na2LiGaAu6, computed with PBE.

Lattice parameters (Å, degrees): 6.878 6.583 9.428 46.36 43.87 70.20
Element x y z (fractional)
Na 0.239 0.762 0.511
Na 0.761 0.238 0.489
Li 0.500 0.500 0.000
Ga 0.000 0.000 0.000
Au 0.258 0.742 0.825
Au 0.681 0.817 0.005
Au 0.181 0.319 0.507
Au 0.742 0.258 0.175
Au 0.319 0.183 0.995
Au 0.819 0.681 0.493

Summary:
Density of states at the Fermi level, states/eV per atom: 0.199
E_tot, eV/cell: -30.07